This record from Alexandria via LeMat-Bulk describes a relaxed structure of TbPr5Er5. The functional is PBE.

* energy relative to the elements: 0.2787 eV/atom
* ρ: 7.3 g/cm³

POSCAR file:
```
TbPr5Er5
1.0
6.1248 0.0000 0.0000
-3.0624 5.3042 0.0000
0.0000 0.0000 11.8481
Tb Pr Er
1 5 5
Direct
0.0000 0.0000 0.0000 Tb
0.0000 0.0000 0.3150 Pr
0.0000 0.0000 0.6850 Pr
0.3333 0.6667 0.1529 Pr
0.3333 0.6667 0.8471 Pr
0.6667 0.3333 0.0000 Pr
0.5004 0.0008 0.5000 Er
0.5004 0.4996 0.5000 Er
0.6667 0.3333 0.2660 Er
0.6667 0.3333 0.7340 Er
0.9992 0.4996 0.5000 Er
```